No. 1
Entry from Alexandria via LeMat-Bulk: a crystal of Cr3Os2 relaxed with PBEsol (SCAN). Values from VASP.

Computed properties:
As for the symmetry: P-3m1, No. 164.

```
&SYSTEM
  ibrav = 0, nat = 5, ntyp = 2
/
ATOMIC_SPECIES
Cr 52.00 Cr.upf
Os 190.23 Os.upf
CELL_PARAMETERS angstrom
4.027 0.000 0.000
-2.014 3.488 0.000
0.000 0.000 5.024
ATOMIC_POSITIONS crystal
Cr 0.000 0.000 0.000
Cr 0.333 0.667 0.357
Cr 0.667 0.333 0.643
Os 0.333 0.667 0.828
Os 0.667 0.333 0.172
```

No. 2
Entry from Alexandria via LeMat-Bulk: a crystal of CrOs relaxed with PBEsol (SCAN). Values from VASP.

Computed properties:
As for the symmetry: R-3m, No. 166.

```
&SYSTEM
  ibrav = 0, nat = 4, ntyp = 2
/
ATOMIC_SPECIES
Cr 52.00 Cr.upf
Os 190.23 Os.upf
CELL_PARAMETERS angstrom
1.329 0.767 8.444
-1.329 0.767 8.444
0.000 -1.535 8.444
ATOMIC_POSITIONS crystal
Cr 0.126 0.126 0.126
Cr 0.874 0.874 0.874
Os 0.380 0.380 0.380
Os 0.620 0.620 0.620
```

No. 3
Entry from Alexandria via LeMat-Bulk: a crystal of CrOs relaxed with PBEsol (SCAN). Values from VASP.

Computed properties:
As for the symmetry: P-1, No. 2.

```
&SYSTEM
  ibrav = 0, nat = 4, ntyp = 2
/
ATOMIC_SPECIES
Cr 52.00 Cr.upf
Os 190.23 Os.upf
CELL_PARAMETERS angstrom
2.658 0.000 0.000
-0.002 4.518 0.000
-1.327 -2.201 4.251
ATOMIC_POSITIONS crystal
Cr 0.127 0.294 0.255
Cr 0.873 0.706 0.745
Os 0.377 0.206 0.753
Os 0.623 0.794 0.247
```

No. 4
Entry from Alexandria via LeMat-Bulk: a crystal of CrOs2 relaxed with PBEsol (SCAN). Values from VASP.

Computed properties:
As for the symmetry: Cmcm, No. 63.

```
&SYSTEM
  ibrav = 0, nat = 6, ntyp = 2
/
ATOMIC_SPECIES
Cr 52.00 Cr.upf
Os 190.23 Os.upf
CELL_PARAMETERS angstrom
1.349 -6.873 0.000
1.349 6.873 0.000
0.000 0.000 4.271
ATOMIC_POSITIONS crystal
Cr 0.224 0.776 0.750
Cr 0.776 0.224 0.250
Os 0.117 0.883 0.250
Os 0.440 0.560 0.250
Os 0.560 0.440 0.750
Os 0.883 0.117 0.750
```

Energy of formation from the pure elements: 0.3750, 0.2179, 0.0838, 0.0628 (eV per atom)
Density: 12.62, 15.57, 15.75, 18.14 (g cm⁻³)